(1)
NaLa3Ir: optimized geometry, PBE.

SG ... No. 1
Theoretical density ... 6.34 g/cm³
Total moment ... 0.0000 μB/atom
DOS(E_F) ... 5.9 states/eV/f.u.
E_form ... -0.318 eV per atom
Relative energy among the computed polymorphs ... 6 meV per atom

abc: 3.9622 9.5506 9.2115
angles: 103.05 77.55 89.98
With the nearest neighbours (Å) after each atom.
Atoms (fractional coordinates):
Na  0.7258  0.3410  0.3732  1 Na 3.14
Na  0.5560  0.5003  0.7204  1 Na 3.14
Ir  0.6116  0.9097  0.6064  7 La 2.86-3.20
Ir  0.3575  0.7594  0.1160  5 La 2.86-3.12
La  0.4036  0.1655  0.0225  10 La 3.72-4.02, 2 Na 3.77-3.78, 2 Ir 3.97-4.15
La  0.8857  0.5380  0.0603  2 Ir 2.86
La  0.1932  0.7034  0.4441  3 Ir 2.93-3.12
La  0.7789  0.9553  0.2727  3 Ir 2.86-3.13
La  0.9868  0.8374  0.8570  4 Ir 3.19-3.27
La  0.0861  0.1323  0.6566  2 Ir 2.86

***

(2)
PmHo2Ni9: optimized geometry, PBE.

SG ... No. 166
Theoretical density ... 9.55 g/cm³
Total moment ... 0.0618 μB/atom
DOS(E_F) ... 15.4 states/eV/f.u.
E_form ... -0.403 eV per atom

abc: 4.9859 4.9859 8.5948
angles: 73.14 73.14 60.00
With the nearest neighbours (Å) after each atom.
Atoms (fractional coordinates):
Pm  0.0000  0.0000  0.0000  18 Ni 2.88-3.21
Ho  0.8603  0.8603  0.4191  12 Ni 2.85-3.05, 3 Ho 3.16
Ho  0.1397  0.1397  0.5809  12 Ni 2.85-3.05, 3 Ho 3.16
Ni  0.6670  0.6670  0.9990  6 Ni 2.47-2.49
Ni  0.3330  0.3330  0.0010  6 Ni 2.47-2.49
Ni  0.5000  0.5000  0.5000  6 Ni 2.49
Ni  0.4164  0.4164  0.2490  7 Ni 2.47-2.50
Ni  0.9182  0.4164  0.2490  7 Ni 2.47-2.50
Ni  0.4164  0.9182  0.2490  7 Ni 2.47-2.50
Ni  0.5836  0.5836  0.7510  7 Ni 2.47-2.50
Ni  0.5836  0.0818  0.7510  7 Ni 2.47-2.50
Ni  0.0818  0.5836  0.7510  7 Ni 2.47-2.50

***

(3)
NaNiHg2: optimized geometry, PBE.

SG ... No. 122
Theoretical density ... 7.10 g/cm³
Total moment ... 0.0000 μB/atom
DOS(E_F) ... 2.4 states/eV/f.u.
E_form ... 0.250 eV per atom
Relative energy among the computed polymorphs ... 145 meV per atom

abc: 5.1839 5.1839 9.1720
angles: 73.58 73.58 90.00
With the nearest neighbours (Å) after each atom.
Atoms (fractional coordinates):
Ni  0.0000  0.0000  0.0000  4 Hg 2.57
Ni  0.7500  0.2500  0.5000  4 Hg 2.57
Hg  0.7353  0.1250  0.2500  2 Ni 2.57
Hg  0.0147  0.6250  0.2500  2 Ni 2.57
Hg  0.3750  0.2647  0.7500  2 Ni 2.57
Hg  0.8750  0.9853  0.7500  2 Ni 2.57
Na  0.5000  0.5000  0.0000  4 Hg 3.10
Na  0.2500  0.7500  0.5000  4 Hg 3.10

***

(4)
Pr2As4Rh3Au: optimized geometry, PBE.

SG ... No. 115
Theoretical density ... 9.33 g/cm³
Total moment ... 0.0000 μB/atom
DOS(E_F) ... 5.1 states/eV/f.u.
E_form ... -0.827 eV per atom

abc: 4.3964 4.3964 10.0146
angles: 90.00 90.00 90.00
With the nearest neighbours (Å) after each atom.
Atoms (fractional coordinates):
Pr  0.5000  0.0000  0.2440  8 As 3.29-3.31, 7 Rh 3.37-3.59, 2 Au 3.38
Pr  0.0000  0.5000  0.7560  8 As 3.29-3.31, 7 Rh 3.37-3.59, 2 Au 3.38
As  0.5000  0.5000  0.0000  4 Rh 2.48
As  0.0000  0.0000  0.0000  4 Rh 2.48
As  0.5000  0.0000  0.6433  3 Rh 2.43-2.62, 2 Au 2.62
As  0.0000  0.5000  0.3567  3 Rh 2.43-2.62, 2 Au 2.62
Rh  0.0000  0.0000  0.5000  4 As 2.62
Rh  0.5000  0.0000  0.8859  5 As 2.43-2.48
Rh  0.0000  0.5000  0.1141  5 As 2.43-2.48
Au  0.5000  0.5000  0.5000  4 As 2.62

***

(5)
DyHoAlIr: optimized geometry, PBE.

SG ... No. 216
Theoretical density ... 10.52 g/cm³
Total moment ... 0.0000 μB/atom
DOS(E_F) ... 3.3 states/eV/f.u.
E_form ... -0.573 eV per atom

abc: 4.9604 4.9604 4.9604
angles: 60.00 60.00 60.00
With the nearest neighbours (Å) after each atom.
Atoms (fractional coordinates):
Al  0.5000  0.5000  0.5000  4 Ho 3.04, 4 Dy 3.04
Ir  0.0000  0.0000  0.0000  4 Dy 3.04, 4 Ho 3.04
Ho  0.7500  0.7500  0.7500  4 Al 3.04, 4 Ir 3.04
Dy  0.2500  0.2500  0.2500  4 Al 3.04, 4 Ir 3.04

***

(6)
Sr2TlI2: optimized geometry, PBE.

SG ... No. 127
Raw formation energy ... -0.8073 eV per atom
Theoretical density ... 5.22 g/cm³
Total moment ... 0.0000 μB/atom
DOS(E_F) ... 5.0 states/eV/f.u.
Relative energy among the computed polymorphs ... 14 meV per atom

abc: 9.2430 9.2430 4.7174
angles: 90.00 90.00 90.00
With the nearest neighbours (Å) after each atom.
Atoms (fractional coordinates):
I  0.1406  0.6406  0.5000  6 Sr 3.38-3.76, 1 I 3.68
I  0.6406  0.8594  0.5000  6 Sr 3.38-3.76, 1 I 3.68
I  0.8594  0.3594  0.5000  6 Sr 3.38-3.76, 1 I 3.68
I  0.3594  0.1406  0.5000  6 Sr 3.38-3.76, 1 I 3.68
Sr  0.3259  0.8259  0.0000  6 I 3.38-3.76, 2 Tl 3.42
Sr  0.8259  0.6741  0.0000  6 I 3.38-3.76, 2 Tl 3.42
Sr  0.6741  0.1741  0.0000  6 I 3.38-3.76, 2 Tl 3.42
Sr  0.1741  0.3259  0.0000  6 I 3.38-3.76, 2 Tl 3.42
Tl  0.0000  0.0000  0.0000  4 Sr 3.42
Tl  0.5000  0.5000  0.0000  4 Sr 3.42

***

(7)
ICl2F: optimized geometry, PBE.

SG ... No. 225
Raw formation energy ... 0.2567 eV per atom
Theoretical density ... 4.49 g/cm³
Total moment ... 0.0000 μB/atom
DOS(E_F) ... 2.7 states/eV/f.u.
Relative energy among the computed polymorphs ... 526 meV per atom

abc: 4.8416 4.8416 4.8416
angles: 60.00 60.00 60.00
With the nearest neighbours (Å) after each atom.
Atoms (fractional coordinates):
I  0.5000  0.5000  0.5000  8 Cl 2.96
F  0.0000  0.0000  0.0000  8 Cl 2.96
Cl  0.2500  0.2500  0.2500  4 F 2.96, 4 I 2.96
Cl  0.7500  0.7500  0.7500  4 I 2.96, 4 F 2.96

***

(8)
Sr5As3: optimized geometry, PBE.

SG ... No. 12
Theoretical density ... 4.12 g/cm³
Total moment ... 0.1170 μB/atom
DOS(E_F) ... 2.8 states/eV/f.u.
E_form ... -0.984 eV per atom
Relative energy among the computed polymorphs ... 82 meV per atom

abc: 7.5922 8.6388 9.2467
angles: 83.93 65.76 75.07
With the nearest neighbours (Å) after each atom.
Atoms (fractional coordinates):
Sr  0.1489  0.8867  0.7193  5 As 3.14-3.46
Sr  0.9983  0.2913  0.8835  4 As 3.10-3.38
Sr  0.2668  0.4832  0.5000  4 As 3.10-3.22
Sr  0.3682  0.8867  0.2807  5 As 3.14-3.46
Sr  0.6174  0.7095  0.8835  4 As 3.10-3.38
Sr  0.3818  0.2913  0.1165  4 As 3.10-3.38
Sr  0.6310  0.1141  0.7193  5 As 3.14-3.46
Sr  0.7323  0.5177  0.5000  4 As 3.10-3.22
Sr  0.0009  0.7095  0.1165  4 As 3.10-3.38
Sr  0.8502  0.1141  0.2807  5 As 3.14-3.46
As  0.6572  0.5004  0.1848  8 Sr 3.22-3.46
As  0.7447  0.0004  0.0098  8 Sr 3.10-3.38
As  0.0670  0.2128  0.5000  6 Sr 3.10-3.37
As  0.9322  0.7881  0.5000  6 Sr 3.10-3.37
As  0.2545  0.0004  0.9902  8 Sr 3.10-3.38
As  0.3420  0.5004  0.8152  8 Sr 3.22-3.46

***

(9)
Dy2GaSnGe: optimized geometry, PBE.

SG ... No. 11
Theoretical density ... 8.33 g/cm³
Total moment ... 0.0000 μB/atom
DOS(E_F) ... 3.0 states/eV/f.u.
E_form ... -0.658 eV per atom

abc: 4.2538 6.3515 8.6507
angles: 90.04 90.00 90.00
With the nearest neighbours (Å) after each atom.
Atoms (fractional coordinates):
Dy  0.7500  0.7535  0.5332  3 Ge 3.09-3.11, 3 Ga 3.11-3.12, 2 Sn 3.25
Dy  0.7500  0.7529  0.9669  3 Ge 3.09-3.10, 3 Ga 3.11-3.12, 2 Sn 3.25
Dy  0.2500  0.2465  0.4668  3 Ge 3.09-3.11, 3 Ga 3.11-3.12, 2 Sn 3.25
Dy  0.2500  0.2471  0.0331  3 Ge 3.09-3.10, 3 Ga 3.11-3.12, 2 Sn 3.25
Ga  0.2500  0.5512  0.7499  1 Ge 2.51, 2 Sn 2.78
Ga  0.7500  0.4488  0.2501  1 Ge 2.51, 2 Sn 2.78
Sn  0.2500  0.7303  0.2502  2 Ga 2.78, 2 Ge 2.96
Sn  0.7500  0.2697  0.7498  2 Ga 2.78, 2 Ge 2.96
Ge  0.2500  0.9463  0.7503  1 Ga 2.51
Ge  0.7500  0.0537  0.2497  1 Ga 2.51

***

(10)
Be2RuBr: optimized geometry, PBE.

SG ... No. 123
Raw formation energy ... 0.1450 eV per atom
Theoretical density ... 6.01 g/cm³
Total moment ... 0.0000 μB/atom
DOS(E_F) ... 1.6 states/eV/f.u.
Relative energy among the computed polymorphs ... 29 meV per atom

abc: 3.0779 3.0778 5.8025
angles: 90.00 90.00 90.00
With the nearest neighbours (Å) after each atom.
Atoms (fractional coordinates):
Ru  0.5000  0.5000  0.7500  8 Be 2.40
Br  0.5000  0.5000  0.2500  8 Be 2.88, 2 Ru 2.90, 4 Br 3.08
Be  0.0000  0.0000  0.9252  1 Be 2.03
Be  0.0000  0.0000  0.5748  1 Be 2.03

***

(11)
K3Sr2TcO6: optimized geometry, PBE.

SG ... No. 12
Raw formation energy ... -1.8918 eV per atom
Theoretical density ... 4.05 g/cm³
Total moment ... 0.1667 μB/atom
DOS(E_F) ... 8.4 states/eV/f.u.

abc: 6.1178 6.1178 6.4905
angles: 99.08 99.08 120.04
With the nearest neighbours (Å) after each atom.
Atoms (fractional coordinates):
K  0.1611  0.8389  0.5000  4 O 2.66-2.69
K  0.8389  0.1611  0.5000  4 O 2.66-2.69
K  0.5000  0.5000  0.5000  4 O 2.69
Sr  0.3329  0.6671  0.0000  6 O 2.51-2.52
Sr  0.6671  0.3329  0.0000  6 O 2.51-2.52
Tc  0.0000  0.0000  0.0000  6 O 2.04-2.05
O  0.9371  0.6616  0.8114  1 Tc 2.05
O  0.7860  0.7860  0.1860  1 Tc 2.04
O  0.0629  0.3384  0.1886  1 Tc 2.05
O  0.6616  0.9371  0.8114  1 Tc 2.05
O  0.2140  0.2140  0.8140  1 Tc 2.04
O  0.3384  0.0629  0.1886  1 Tc 2.05

***

(12)
HfCu2TcO: optimized geometry, PBE.

SG ... No. 123
Raw formation energy ... 1.2594 eV per atom
Theoretical density ... 7.03 g/cm³
Total moment ... 0.0000 μB/atom
DOS(E_F) ... 4.0 states/eV/f.u.
Relative energy among the computed polymorphs ... 1554 meV per atom

abc: 4.5139 4.8628 4.5139
angles: 90.00 90.00 90.00
With the nearest neighbours (Å) after each atom.
Atoms (fractional coordinates):
O  0.5000  0.5000  0.5000  4 Hf 3.19, 8 Cu 3.32
Hf  0.0000  0.5000  0.0000  2 Tc 2.43
Tc  0.0000  0.0000  0.0000  4 Cu 2.26, 2 Hf 2.43
Cu  0.0000  0.0000  0.5000  2 Tc 2.26
Cu  0.5000  0.0000  0.0000  2 Tc 2.26